[1]
Here is a relaxed Mn3Co11 crystal from the Alexandria database. Energies are from PBE-GGA.

Computed properties:
Raw total energy, eV/atom: -7.359
Magnetization, μB per formula unit: 28.9

Cell and atoms, written as CIF:
```
data_Mn3Co11
_chemical_formula_sum 'Mn6 Co22'
_space_group_name_H-M_alt 'I m m m'
_space_group_IT_number 71
_space_group_name_Hall '-I 2 2'
_cell_length_a 3.940
_cell_length_b 8.768
_cell_length_c 9.773
_cell_angle_alpha 90.00
_cell_angle_beta 90.00
_cell_angle_gamma 90.00
loop_
_atom_site_label
_atom_site_fract_x
_atom_site_fract_y
_atom_site_fract_z
Mn1 0.000 0.000 0.000
Mn2 0.000 0.000 0.282
Co1 0.000 0.149 0.500
Co2 0.000 0.277 0.148
Co3 0.000 0.371 0.369
Co4 0.000 0.500 0.000
```



[2]
Here is a relaxed Mn3Co crystal from the Alexandria database. Energies are from PBE-GGA.

Computed properties:
Raw total energy, eV/atom: -8.610
Magnetization, μB per formula unit: 0.0

Cell and atoms, written as CIF:
```
data_Mn3Co
_chemical_formula_sum 'Mn3 Co1'
_space_group_name_H-M_alt 'P -6 m 2'
_space_group_IT_number 187
_space_group_name_Hall 'P -6 2'
_cell_length_a 2.4771
_cell_length_b 2.4771
_cell_length_c 7.9719
_cell_angle_alpha 90.00
_cell_angle_beta 90.00
_cell_angle_gamma 120.00
loop_
_atom_site_label
_atom_site_fract_x
_atom_site_fract_y
_atom_site_fract_z
Mn1 0.0000 0.0000 0.0000
Mn2 0.3333 0.6667 0.2511
Co1 0.0000 0.0000 0.5000
```



[3]
Here is a relaxed Mn6Co7 crystal from the Alexandria database. Energies are from PBE-GGA.

Computed properties:
Raw total energy, eV/atom: -7.956
Magnetization, μB per formula unit: 22.3

Cell and atoms, written as CIF:
```
data_Mn6Co7
_chemical_formula_sum 'Mn18 Co21'
_space_group_name_H-M_alt 'R -3 m'
_space_group_IT_number 166
_space_group_name_Hall '-R 3 2"'
_cell_length_a 4.6604
_cell_length_b 4.6604
_cell_length_c 24.7042
_cell_angle_alpha 90.00
_cell_angle_beta 90.00
_cell_angle_gamma 120.00
loop_
_atom_site_label
_atom_site_fract_x
_atom_site_fract_y
_atom_site_fract_z
Mn1 0.0000 0.0000 0.0409
Mn2 0.0000 0.0000 0.1502
Mn3 0.0000 0.0000 0.3345
Co1 0.0000 0.0000 0.5000
Co2 0.0055 0.5027 0.9116
```



[4]
Here is a relaxed Mn2Co3 crystal from the Alexandria database. Energies are from PBE-GGA.

Computed properties:
Excess energy over the best structure of this formula in the dataset, kJ per mole of atoms: 6.3
Raw total energy, eV/atom: -7.763
Magnetization, μB per formula unit: 4.8

Cell and atoms, written as CIF:
```
data_Mn2Co3
_chemical_formula_sum 'Mn16 Co24'
_space_group_name_H-M_alt 'F d d 2'
_space_group_IT_number 43
_space_group_name_Hall 'F 2 -2d'
_cell_length_a 8.306
_cell_length_b 11.886
_cell_length_c 4.391
_cell_angle_alpha 90.00
_cell_angle_beta 90.00
_cell_angle_gamma 90.00
loop_
_atom_site_label
_atom_site_fract_x
_atom_site_fract_y
_atom_site_fract_z
Mn1 0.028 0.299 0.000
Co1 0.000 0.000 0.442
Co2 0.047 0.401 0.462
```



[5]
Here is a relaxed Mn3Co crystal from the Alexandria database. Energies are from PBE-GGA.

Computed properties:
Raw total energy, eV/atom: -8.626
Magnetization, μB per formula unit: 0.8

Cell and atoms, written as CIF:
```
data_Mn3Co
_chemical_formula_sum 'Mn6 Co2'
_space_group_name_H-M_alt 'C m m m'
_space_group_IT_number 65
_space_group_name_Hall '-C 2 2'
_cell_length_a 5.018
_cell_length_b 7.008
_cell_length_c 2.522
_cell_angle_alpha 90.00
_cell_angle_beta 90.00
_cell_angle_gamma 90.00
loop_
_atom_site_label
_atom_site_fract_x
_atom_site_fract_y
_atom_site_fract_z
Mn1 0.000 0.000 0.000
Mn2 0.250 0.250 0.500
Co1 0.000 0.500 0.000
```



[6]
Here is a relaxed Mn7Co crystal from the Alexandria database. Energies are from PBE-GGA.

Computed properties:
Raw total energy, eV/atom: -8.848
Magnetization, μB per formula unit: 0.3

Cell and atoms, written as CIF:
```
data_Mn7Co
_chemical_formula_sum 'Mn28 Co4'
_space_group_name_H-M_alt 'F m -3 m'
_space_group_IT_number 225
_space_group_name_Hall '-F 4 2 3'
_cell_length_a 7.008
_cell_length_b 7.008
_cell_length_c 7.008
_cell_angle_alpha 90.00
_cell_angle_beta 90.00
_cell_angle_gamma 90.00
loop_
_atom_site_label
_atom_site_fract_x
_atom_site_fract_y
_atom_site_fract_z
Mn1 0.000 0.000 0.000
Mn2 0.000 0.250 0.250
Co1 0.000 0.000 0.500
```



[7]
Here is a relaxed MnCo2 crystal from the Alexandria database. Energies are from PBE-GGA.

Computed properties:
Raw total energy, eV/atom: -7.712
Magnetization, μB per formula unit: 0.6

Cell and atoms, written as CIF:
```
data_MnCo2
_chemical_formula_sum 'Mn2 Co4'
_space_group_name_H-M_alt 'I 4/m m m'
_space_group_IT_number 139
_space_group_name_Hall '-I 4 2'
_cell_length_a 2.452
_cell_length_b 2.452
_cell_length_c 10.575
_cell_angle_alpha 90.00
_cell_angle_beta 90.00
_cell_angle_gamma 90.00
loop_
_atom_site_label
_atom_site_fract_x
_atom_site_fract_y
_atom_site_fract_z
Mn1 0.000 0.000 0.000
Co1 0.000 0.000 0.334
```



[8]
Here is a relaxed Mn3Co crystal from the Alexandria database. Energies are from PBE-GGA.

Computed properties:
Raw total energy, eV/atom: -8.629
Magnetization, μB per formula unit: 0.0

Cell and atoms, written as CIF:
```
data_Mn3Co
_chemical_formula_sum 'Mn12 Co4'
_space_group_name_H-M_alt 'P 63/m m c'
_space_group_IT_number 194
_space_group_name_Hall '-P 6c 2c'
_cell_length_a 4.9515
_cell_length_b 4.9515
_cell_length_c 7.9633
_cell_angle_alpha 90.00
_cell_angle_beta 90.00
_cell_angle_gamma 120.00
loop_
_atom_site_label
_atom_site_fract_x
_atom_site_fract_y
_atom_site_fract_z
Mn1 0.0000 0.5000 0.0000
Mn2 0.1691 0.3381 0.2500
Co1 0.0000 0.0000 0.0000
Co2 0.3333 0.6667 0.7500
```



[9]
Here is a relaxed Mn2Co3 crystal from the Alexandria database. Energies are from PBE-GGA.

Computed properties:
Excess energy over the best structure of this formula in the dataset, kJ per mole of atoms: 0.0
Raw total energy, eV/atom: -7.828
Magnetization, μB per formula unit: 2.3

Cell and atoms, written as CIF:
```
data_Mn2Co3
_chemical_formula_sum 'Mn6 Co9'
_space_group_name_H-M_alt 'R -3 m'
_space_group_IT_number 166
_space_group_name_Hall '-R 3 2"'
_cell_length_a 2.4670
_cell_length_b 2.4670
_cell_length_c 30.1966
_cell_angle_alpha 90.00
_cell_angle_beta 90.00
_cell_angle_gamma 120.00
loop_
_atom_site_label
_atom_site_fract_x
_atom_site_fract_y
_atom_site_fract_z
Mn1 0.0000 0.0000 0.1003
Co1 0.0000 0.0000 0.2989
Co2 0.0000 0.0000 0.5000
```



[10]
Here is a relaxed MnCo2 crystal from the Alexandria database. Energies are from PBE-GGA.

Computed properties:
Raw total energy, eV/atom: -7.718
Magnetization, μB per formula unit: 1.9

Cell and atoms, written as CIF:
```
data_MnCo2
_chemical_formula_sum 'Mn4 Co8'
_space_group_name_H-M_alt 'C m m m'
_space_group_IT_number 65
_space_group_name_Hall '-C 2 2'
_cell_length_a 3.522
_cell_length_b 10.706
_cell_length_c 3.458
_cell_angle_alpha 90.00
_cell_angle_beta 90.00
_cell_angle_gamma 90.00
loop_
_atom_site_label
_atom_site_fract_x
_atom_site_fract_y
_atom_site_fract_z
Mn1 0.000 0.161 0.000
Co1 0.000 0.000 0.500
Co2 0.000 0.335 0.500
Co3 0.000 0.500 0.000
```



[11]
Here is a relaxed MnCo2 crystal from the Alexandria database. Energies are from PBE-GGA.

Computed properties:
Raw total energy, eV/atom: -7.419
Magnetization, μB per formula unit: 0.2

Cell and atoms, written as CIF:
```
data_MnCo2
_chemical_formula_sum 'Mn4 Co8'
_space_group_name_H-M_alt 'I m m a'
_space_group_IT_number 74
_space_group_name_Hall '-I 2b 2'
_cell_length_a 2.433
_cell_length_b 3.704
_cell_length_c 15.755
_cell_angle_alpha 90.00
_cell_angle_beta 90.00
_cell_angle_gamma 90.00
loop_
_atom_site_label
_atom_site_fract_x
_atom_site_fract_y
_atom_site_fract_z
Mn1 0.000 0.250 0.112
Co1 0.000 0.250 0.541
Co2 0.000 0.250 0.689
```



[12]
Here is a relaxed MnCo2 crystal from the Alexandria database. Energies are from PBE-GGA.

Computed properties:
Raw total energy, eV/atom: -7.730
Magnetization, μB per formula unit: 0.3

Cell and atoms, written as CIF:
```
data_MnCo2
_chemical_formula_sum 'Mn2 Co4'
_space_group_name_H-M_alt 'I m m m'
_space_group_IT_number 71
_space_group_name_Hall '-I 2 2'
_cell_length_a 2.463
_cell_length_b 3.501
_cell_length_c 7.419
_cell_angle_alpha 90.00
_cell_angle_beta 90.00
_cell_angle_gamma 90.00
loop_
_atom_site_label
_atom_site_fract_x
_atom_site_fract_y
_atom_site_fract_z
Mn1 0.000 0.000 0.000
Co1 0.000 0.000 0.333
```



[13]
Here is a relaxed Mn5Co3 crystal from the Alexandria database. Energies are from PBE-GGA.

Computed properties:
Excess energy over the best structure of this formula in the dataset, kJ per mole of atoms: 10.5
Raw total energy, eV/atom: -8.259
Magnetization, μB per formula unit: 4.7

Cell and atoms, written as CIF:
```
data_Mn5Co3
_chemical_formula_sum 'Mn10 Co6'
_space_group_name_H-M_alt 'P -1'
_space_group_IT_number 2
_space_group_name_Hall '-P 1'
_cell_length_a 4.514
_cell_length_b 6.532
_cell_length_c 6.892
_cell_angle_alpha 86.31
_cell_angle_beta 75.03
_cell_angle_gamma 70.47
loop_
_atom_site_label
_atom_site_fract_x
_atom_site_fract_y
_atom_site_fract_z
Mn1 0.020 0.202 0.164
Mn2 0.216 0.807 0.153
Mn3 0.248 0.352 0.690
Mn4 0.250 0.998 0.507
Mn5 0.426 0.340 0.298
Co1 0.167 0.658 0.490
Co2 0.268 0.463 0.998
Co3 0.381 0.015 0.849
```



[14]
Here is a relaxed MnCo2 crystal from the Alexandria database. Energies are from PBE-GGA.

Computed properties:
Raw total energy, eV/atom: -7.676
Magnetization, μB per formula unit: 6.4

Cell and atoms, written as CIF:
```
data_MnCo2
_chemical_formula_sum 'Mn1 Co2'
_space_group_name_H-M_alt 'P -3 m 1'
_space_group_IT_number 164
_space_group_name_Hall '-P 3 2"'
_cell_length_a 4.0222
_cell_length_b 4.0222
_cell_length_c 2.5009
_cell_angle_alpha 90.00
_cell_angle_beta 90.00
_cell_angle_gamma 120.00
loop_
_atom_site_label
_atom_site_fract_x
_atom_site_fract_y
_atom_site_fract_z
Mn1 0.0000 0.0000 0.0000
Co1 0.3333 0.6667 0.6609
```



[15]
Here is a relaxed MnCo2 crystal from the Alexandria database. Energies are from PBE-GGA.

Computed properties:
Raw total energy, eV/atom: -7.724
Magnetization, μB per formula unit: 1.4

Cell and atoms, written as CIF:
```
data_MnCo2
_chemical_formula_sum 'Mn4 Co8'
_space_group_name_H-M_alt 'C 1 2/m 1'
_space_group_IT_number 12
_space_group_name_Hall '-C 2y'
_cell_length_a 9.006
_cell_length_b 2.487
_cell_length_c 5.844
_cell_angle_alpha 90.00
_cell_angle_beta 104.03
_cell_angle_gamma 90.00
loop_
_atom_site_label
_atom_site_fract_x
_atom_site_fract_y
_atom_site_fract_z
Mn1 0.195 0.000 0.136
Co1 0.027 0.500 0.806
Co2 0.140 0.000 0.530
```



[16]
Here is a relaxed Mn3Co crystal from the Alexandria database. Energies are from PBE-GGA.

Computed properties:
Raw total energy, eV/atom: -8.597
Magnetization, μB per formula unit: 0.3

Cell and atoms, written as CIF:
```
data_Mn3Co
_chemical_formula_sum 'Mn12 Co4'
_space_group_name_H-M_alt 'P n m a'
_space_group_IT_number 62
_space_group_name_Hall '-P 2ac 2n'
_cell_length_a 4.294
_cell_length_b 7.988
_cell_length_c 4.974
_cell_angle_alpha 90.00
_cell_angle_beta 90.00
_cell_angle_gamma 90.00
loop_
_atom_site_label
_atom_site_fract_x
_atom_site_fract_y
_atom_site_fract_z
Mn1 0.087 0.250 0.118
Mn2 0.245 0.000 0.371
Co1 0.085 0.250 0.623
```



[17]
Here is a relaxed MnCo2 crystal from the Alexandria database. Energies are from PBE-GGA.

Computed properties:
Raw total energy, eV/atom: -7.191
Magnetization, μB per formula unit: 1.3

Cell and atoms, written as CIF:
```
data_MnCo2
_chemical_formula_sum 'Mn4 Co8'
_space_group_name_H-M_alt 'F m -3 m'
_space_group_IT_number 225
_space_group_name_Hall '-F 4 2 3'
_cell_length_a 5.290
_cell_length_b 5.290
_cell_length_c 5.290
_cell_angle_alpha 90.00
_cell_angle_beta 90.00
_cell_angle_gamma 90.00
loop_
_atom_site_label
_atom_site_fract_x
_atom_site_fract_y
_atom_site_fract_z
Mn1 0.000 0.000 0.000
Co1 0.250 0.250 0.250
```



[18]
Here is a relaxed Mn3Co crystal from the Alexandria database. Energies are from PBE-GGA.

Computed properties:
Raw total energy, eV/atom: -8.474
Magnetization, μB per formula unit: 5.5

Cell and atoms, written as CIF:
```
data_Mn3Co
_chemical_formula_sum 'Mn9 Co3'
_space_group_name_H-M_alt 'R -3 m'
_space_group_IT_number 166
_space_group_name_Hall '-R 3 2"'
_cell_length_a 7.9443
_cell_length_b 7.9443
_cell_length_c 2.4467
_cell_angle_alpha 90.00
_cell_angle_beta 90.00
_cell_angle_gamma 120.00
loop_
_atom_site_label
_atom_site_fract_x
_atom_site_fract_y
_atom_site_fract_z
Mn1 0.0000 0.5000 0.0000
Co1 0.0000 0.0000 0.0000
```



[19]
Here is a relaxed Mn3Co5 crystal from the Alexandria database. Energies are from PBE-GGA.

Computed properties:
Raw total energy, eV/atom: -7.695
Magnetization, μB per formula unit: 13.4

Cell and atoms, written as CIF:
```
data_Mn3Co5
_chemical_formula_sum 'Mn12 Co20'
_space_group_name_H-M_alt 'I 4 2 2'
_space_group_IT_number 97
_space_group_name_Hall 'I 4 2'
_cell_length_a 9.163
_cell_length_b 9.163
_cell_length_c 4.496
_cell_angle_alpha 90.00
_cell_angle_beta 90.00
_cell_angle_gamma 90.00
loop_
_atom_site_label
_atom_site_fract_x
_atom_site_fract_y
_atom_site_fract_z
Mn1 0.000 0.000 0.000
Mn2 0.000 0.000 0.500
Mn3 0.179 0.321 0.250
Co1 0.000 0.500 0.000
Co2 0.066 0.236 0.751
```



[20]
Here is a relaxed Mn3Co4 crystal from the Alexandria database. Energies are from PBE-GGA.

Computed properties:
Excess energy over the best structure of this formula in the dataset, kJ per mole of atoms: 8.0
Raw total energy, eV/atom: -7.811
Magnetization, μB per formula unit: 3.4

Cell and atoms, written as CIF:
```
data_Mn3Co4
_chemical_formula_sum 'Mn3 Co4'
_space_group_name_H-M_alt 'P 6/m m m'
_space_group_IT_number 191
_space_group_name_Hall '-P 6 2'
_cell_length_a 4.4733
_cell_length_b 4.4733
_cell_length_c 4.4259
_cell_angle_alpha 90.00
_cell_angle_beta 90.00
_cell_angle_gamma 120.00
loop_
_atom_site_label
_atom_site_fract_x
_atom_site_fract_y
_atom_site_fract_z
Mn1 0.0000 0.5000 0.0000
Co1 0.0000 0.0000 0.2566
Co2 0.3333 0.6667 0.5000
```